This record from the Alexandria database describes a relaxed Gd2HgGe crystal. The functional is GGA-PBE.

E_form ... -0.61 eV per atom
VASP energy ... -0.3262 Ha/atom

Cell: 5.033 5.033 3.944 Å, 90.00 90.00 90.00°
Space group P4/mmm (No. 123)
Asymmetric unit:
Gd: 0.000 0.500 0.000 x2
Hg: 0.000 0.000 0.500 x1
Ge: 0.500 0.500 0.500 x1